i) ## Er3SbS2 (PBE-GGA)

Data for a geometry-optimized Er3SbS2 structure.

Crystal system: orthorhombic
Density, g/cm3: 7.005

Lattice parameters (Å, degrees): 7.1018 10.6202 8.6450 90.00 90.00 90.00
Closest atoms and distances in Å follow each position.
Space group Imma (No. 74)
Unique sites:
Er (0.2291, 0.0000, 0.0000) [8 per cell]  2 S 2.69
Er (0.2500, 0.2500, 0.2500) [4 per cell]  4 S 2.74
Sb (0.0000, 0.2500, 0.9370) [4 per cell]  6 Er 3.16-3.24
S (0.0000, 0.0575, 0.2952) [8 per cell]  4 Er 2.69-2.74


ii) ## Er3SbS2 (PBE-GGA)

Data for a geometry-optimized Er3SbS2 structure.

Crystal system: orthorhombic
Density, g/cm3: 7.909

Lattice parameters (Å, degrees): 10.7026 8.1144 6.6497 90.00 90.00 90.00
Closest atoms and distances in Å follow each position.
Space group Cmcm (No. 63)
Unique sites:
Er (0.0000, 0.0764, 0.2500) [4 per cell]  4 S 2.70, 1 Sb 2.78
Er (0.1747, 0.2804, 0.7500) [8 per cell]  4 S 2.82-2.83, 1 Sb 3.07
Sb (0.0000, 0.4190, 0.2500) [4 per cell]  3 Er 2.78-3.07
S (0.1901, 0.0000, 0.0000) [8 per cell]  6 Er 2.70-2.83


Question: which arrangement is favored energetically? Ranking from most to least stable: ii), i).